## LiCdIn2 (meta-GGA SCAN)

Data for LiCdIn2 at its PBEsol-relaxed geometry.

Calculated values
- Formation energy: -0.118 eV per atom

a b c (Å): 7.0608 7.0608 7.0608
angles (deg): 90.00 90.00 90.00
Last column: nearest neighbours and their distance in Å.
Space group F-43m (No. 216)
One atom of each set of equivalent atoms:
Li 0.0000 0.0000 0.0000 (multiplicity 4)  4 In 3.06, 4 Cd 3.06
Cd 0.2500 0.2500 0.7500 (multiplicity 4)  4 In 3.06, 4 Li 3.06
In 0.0000 0.0000 0.5000 (multiplicity 4)  4 Cd 3.06, 4 In 3.06
In 0.2500 0.2500 0.2500 (multiplicity 4)  4 In 3.06, 4 Li 3.06



## Li3CdIn (meta-GGA SCAN)

Data for Li3CdIn at its PBEsol-relaxed geometry.

Calculated values
- Formation energy: 0.200 eV per atom

a b c (Å): 5.0394 5.0394 5.0394
angles (deg): 90.00 90.00 90.00
Last column: nearest neighbours and their distance in Å.
Space group Pm-3m (No. 221)
One atom of each set of equivalent atoms:
Li 0.0000 0.0000 0.5000 (multiplicity 3)  2 In 2.52
Cd 0.5000 0.5000 0.5000 (multiplicity 1)  12 Li 3.56
In 0.0000 0.0000 0.0000 (multiplicity 1)  6 Li 2.52



## LiCdIn2 (meta-GGA SCAN)

Data for LiCdIn2 at its PBEsol-relaxed geometry.

Calculated values
- Formation energy: -0.178 eV per atom

a b c (Å): 4.4425 4.4425 8.6190
angles (deg): 90.00 90.00 90.00
Last column: nearest neighbours and their distance in Å.
Space group I4/mmm (No. 139)
One atom of each set of equivalent atoms:
Li 0.0000 0.0000 0.0000 (multiplicity 2)  8 In 3.09, 4 Cd 3.14
Cd 0.0000 0.0000 0.5000 (multiplicity 2)  8 In 3.09, 4 Li 3.14
In 0.0000 0.5000 0.2500 (multiplicity 4)  4 Cd 3.09, 4 Li 3.09, 4 In 3.14



## LiCdIn2 (meta-GGA SCAN)

Data for LiCdIn2 at its PBEsol-relaxed geometry.

Calculated values
- Formation energy: -0.152 eV per atom

a b c (Å): 3.1878 5.1491 5.5485
angles (deg): 80.62 89.27 74.69
Last column: nearest neighbours and their distance in Å.
Space group P1 (No. 1)
One atom of each set of equivalent atoms:
Li 0.0000 0.0000 0.0000 (multiplicity 1)  3 Cd 2.93-3.08, 7 In 2.97-3.27, 2 Li 3.19
Cd 0.2633 0.4814 0.7632 (multiplicity 1)  3 Li 2.93-3.08, 5 In 2.99-3.20, 2 Cd 3.19
In 0.5076 0.9944 0.5106 (multiplicity 1)  3 Cd 2.99-3.20, 5 In 3.08-3.28, 4 Li 3.14-3.27
In 0.7352 0.5079 0.2307 (multiplicity 1)  3 Li 2.97-3.07, 3 Cd 3.06-3.30, 5 In 3.08-3.28



## LiCdIn2 (meta-GGA SCAN)

Data for LiCdIn2 at its PBEsol-relaxed geometry.

Calculated values
- Formation energy: -0.162 eV per atom

a b c (Å): 3.2942 4.2919 6.0635
angles (deg): 90.00 90.00 90.00
Last column: nearest neighbours and their distance in Å.
Space group Pmm2 (No. 25)
One atom of each set of equivalent atoms:
Li 0.0000 0.0000 0.0000 (multiplicity 1)  6 In 2.98-3.08, 4 Cd 3.06, 2 Li 3.29
Cd 0.5000 0.5000 0.2373 (multiplicity 1)  6 In 2.90-3.17, 4 Li 3.06
In 0.0000 0.0000 0.4918 (multiplicity 1)  2 Li 2.98-3.08, 4 Cd 3.11, 6 In 3.16-3.29
In 0.5000 0.5000 0.7596 (multiplicity 1)  2 Cd 2.90-3.17, 4 Li 3.07, 4 In 3.16



## LiCdIn2 (meta-GGA SCAN)

Data for LiCdIn2 at its PBEsol-relaxed geometry.

Calculated values
- Formation energy: -0.117 eV per atom

a b c (Å): 3.2540 3.2540 28.4823
angles (deg): 90.00 90.00 120.00
Last column: nearest neighbours and their distance in Å.
Space group R-3m (No. 166, hexagonal axes)
One atom of each set of equivalent atoms:
Li 0.0000 0.0000 0.0000 (multiplicity 3)  6 In 2.94, 6 Li 3.25
Cd 0.0000 0.0000 0.5000 (multiplicity 3)  6 In 3.11, 6 Cd 3.25
In 0.0000 0.0000 0.2538 (multiplicity 6)  3 Li 2.94, 3 Cd 3.11, 6 In 3.25



## LiCdIn2 (meta-GGA SCAN)

Data for LiCdIn2 at its PBEsol-relaxed geometry.

Calculated values
- Formation energy: -0.151 eV per atom

a b c (Å): 6.1332 8.8656 3.1750
angles (deg): 90.00 90.00 90.00
Last column: nearest neighbours and their distance in Å.
Space group Cmmm (No. 65)
One atom of each set of equivalent atoms:
Li 0.0000 0.0000 0.0000 (multiplicity 2)  2 Cd 3.07, 8 In 3.13, 2 Li 3.17
Cd 0.0000 0.5000 0.0000 (multiplicity 2)  2 Li 3.07, 8 In 3.13, 2 Cd 3.17
In 0.2500 0.2500 0.5000 (multiplicity 4)  4 In 3.07-3.17, 4 Cd 3.13, 4 Li 3.13



## LiCdIn2 (meta-GGA SCAN)

Data for LiCdIn2 at its PBEsol-relaxed geometry.

Calculated values
- Formation energy: -0.142 eV per atom

a b c (Å): 3.1226 5.0163 5.5576
angles (deg): 90.00 90.09 90.00
Last column: nearest neighbours and their distance in Å.
Space group Pm (No. 6)
One atom of each set of equivalent atoms:
Li 0.0000 0.0000 0.0000 (multiplicity 1)  2 Cd 3.03, 8 In 3.10-3.21, 2 Li 3.12
Cd 0.0044 0.5000 0.3054 (multiplicity 1)  2 Li 3.03, 8 In 3.07-3.31, 2 Cd 3.12
In 0.5002 0.5000 0.8292 (multiplicity 1)  4 Cd 3.07-3.31, 4 In 3.09-3.12, 4 Li 3.10
In 0.5021 0.0000 0.5051 (multiplicity 1)  4 In 3.09-3.12, 4 Cd 3.15-3.16, 4 Li 3.16-3.21



| no. | total magnetic moment (Bohr magnetons per cell) |
| --- | --- |
| 1 | 0.0 |
| 2 | 0.0 |
| 3 | 0.0 |
| 4 | 0.0 |
| 5 | 0.0 |
| 6 | 0.0 |
| 7 | 0.0 |
| 8 | 0.0 |